#P
A plane-wave DFT calculation with PBE was carried out for a geometry-optimized RbTlCdHg2 structure.

Cell lengths 5.909, 5.909, 5.834 Å; angles 90.00, 90.00, 90.00 degrees
Atoms (fractional coordinates):
Rb  0.500  0.500  0.500
Cd  0.000  0.000  0.500
Tl  0.000  0.000  0.000
Hg  0.500  0.000  0.000
Hg  0.000  0.500  0.000

SG ... P4/mmm (123)

#Q
A plane-wave DFT calculation with PBE was carried out for a geometry-optimized RbTlCdHg2 structure.

Cell lengths 5.762, 5.762, 5.718 Å; angles 90.00, 90.00, 90.00 degrees
Atoms (fractional coordinates):
Tl  0.000  0.000  0.500
Rb  0.500  0.500  0.500
Hg  0.500  0.000  0.000
Cd  0.000  0.000  0.000
Hg  0.000  0.500  0.000

SG ... P4/mmm (123)

Best to worst by energy: #Q, #P.

#P
A plane-wave DFT calculation with PBE was carried out for a geometry-optimized RbZnCdHg2 structure.

Cell lengths 5.501, 5.501, 5.263 Å; angles 90.00, 90.00, 90.00 degrees
Atoms (fractional coordinates):
Hg  0.000  0.500  0.000
Hg  0.500  0.000  0.000
Rb  0.500  0.500  0.500
Zn  0.000  0.000  0.000
Cd  0.000  0.000  0.500

SG ... P4/mmm (123)

#Q
A plane-wave DFT calculation with PBE was carried out for a geometry-optimized RbZnCdHg2 structure.

Cell lengths 5.772, 5.772, 5.255 Å; angles 90.00, 90.00, 90.00 degrees
Atoms (fractional coordinates):
Hg  0.000  0.500  0.000
Rb  0.500  0.500  0.500
Hg  0.500  0.000  0.000
Cd  0.000  0.000  0.000
Zn  0.000  0.000  0.500

SG ... P4/mmm (123)

Best to worst by energy: #P, #Q.

#P
A plane-wave DFT calculation with PBE was carried out for a geometry-optimized CdRe2Hg structure.

Cell lengths 9.856, 9.856, 9.856 Å; angles 16.76, 16.76, 16.76 degrees
Atoms (fractional coordinates):
Re  0.500  0.500  0.500
Cd  0.250  0.250  0.250
Hg  0.750  0.750  0.750
Re  0.000  0.000  0.000

SG ... R-3m (166)

#Q
A plane-wave DFT calculation with PBE was carried out for a geometry-optimized CdRe2Hg structure.

Cell lengths 2.828, 4.571, 5.649 Å; angles 90.00, 90.00, 90.00 degrees
Atoms (fractional coordinates):
Cd  0.500  0.500  0.250
Re  0.000  0.000  0.461
Hg  0.500  0.500  0.750
Re  0.000  0.000  0.039

SG ... Pmmm (47)

#R
A plane-wave DFT calculation with PBE was carried out for a geometry-optimized CdRe2Hg structure.

Cell lengths 7.690, 7.690, 6.048 Å; angles 50.53, 50.53, 90.00 degrees
Last column: magnetic moment on the atom in μB.
Atoms (fractional coordinates):
Cd  0.500  0.500  0.000  -0.01
Hg  0.000  0.000  0.000  0.00
Hg  0.750  0.250  0.500  0.00
Re  0.116  0.625  0.250  0.96
Re  0.375  0.366  0.750  0.96
Cd  0.250  0.750  0.500  -0.01
Re  0.634  0.125  0.250  0.96
Re  0.875  0.884  0.750  0.96

SG ... I-42d (122)

Best to worst by energy: #P, #Q, #R.

#P
A plane-wave DFT calculation with PBE was carried out for a geometry-optimized CdRe2Hg structure.

Cell lengths 4.839, 4.839, 4.839 Å; angles 127.55, 127.55, 77.36 degrees
Atoms (fractional coordinates):
Cd  0.500  0.500  0.000
Re  0.000  0.000  0.000
Hg  0.750  0.250  0.500
Re  0.250  0.750  0.500

SG ... I-4m2 (119)

#Q
A plane-wave DFT calculation with PBE was carried out for a geometry-optimized CdRe2Hg structure.

Cell lengths 3.261, 3.261, 6.454 Å; angles 90.00, 90.00, 90.00 degrees
Atoms (fractional coordinates):
Hg  0.500  0.500  0.750
Re  0.000  0.000  0.998
Re  0.000  0.000  0.502
Cd  0.500  0.500  0.250

SG ... P4/mmm (123)

#R
A plane-wave DFT calculation with PBE was carried out for a geometry-optimized CdRe2Hg structure.

Cell lengths 4.955, 2.823, 5.095 Å; angles 87.58, 90.00, 90.00 degrees
Atoms (fractional coordinates):
Hg  0.500  0.750  0.750
Cd  0.500  0.250  0.250
Re  0.000  0.585  0.483
Re  0.000  0.915  0.017

SG ... P2/m (10)

#S
A plane-wave DFT calculation with PBE was carried out for a geometry-optimized CdRe2Hg structure.

Cell lengths 5.792, 5.792, 5.792 Å; angles 149.52, 129.86, 59.82 degrees
Atoms (fractional coordinates):
Re  0.783  0.283  0.500
Re  0.970  0.970  0.000
Cd  0.516  0.516  0.000
Hg  0.232  0.732  0.500

SG ... Imm2 (44)

Best to worst by energy: #S, #R, #P, #Q.

#P
A plane-wave DFT calculation with PBE was carried out for a geometry-optimized CdRe2Hg structure.

Cell lengths 3.172, 4.523, 4.875 Å; angles 90.00, 90.00, 90.00 degrees
Atoms (fractional coordinates):
Re  0.000  0.000  0.000
Cd  0.500  0.000  0.500
Re  0.500  0.500  0.000
Hg  0.000  0.500  0.500

SG ... Pmmm (47)

#Q
A plane-wave DFT calculation with PBE was carried out for a geometry-optimized CdRe2Hg structure.

Cell lengths 5.164, 5.164, 4.918 Å; angles 80.55, 80.55, 32.49 degrees
Atoms (fractional coordinates):
Hg  0.250  0.250  0.250
Re  0.999  0.999  0.993
Re  0.501  0.501  0.507
Cd  0.750  0.750  0.750

SG ... C2/m (12)

#R
A plane-wave DFT calculation with PBE was carried out for a geometry-optimized CdRe2Hg structure.

Cell lengths 4.595, 4.595, 4.595 Å; angles 60.00, 60.00, 60.00 degrees
Atoms (fractional coordinates):
Cd  0.000  0.000  0.000
Hg  0.500  0.500  0.500
Re  0.250  0.250  0.250
Re  0.750  0.750  0.750

SG ... Fm-3m (225)

#S
A plane-wave DFT calculation with PBE was carried out for a geometry-optimized CdRe2Hg structure.

Cell lengths 5.414, 5.414, 5.414 Å; angles 137.95, 137.95, 60.98 degrees
Atoms (fractional coordinates):
Re  0.000  0.000  0.000
Re  0.500  0.500  0.000
Hg  0.750  0.250  0.500
Cd  0.250  0.750  0.500

SG ... I4/mmm (139)

Best to worst by energy: #Q, #P, #S, #R.

#P
A plane-wave DFT calculation with PBE was carried out for a geometry-optimized CdRe2Hg structure.

Cell lengths 4.619, 4.619, 4.619 Å; angles 60.00, 60.00, 60.00 degrees
Atoms (fractional coordinates):
Cd  0.500  0.500  0.500
Hg  0.250  0.250  0.250
Re  0.750  0.750  0.750
Re  0.000  0.000  0.000

SG ... F-43m (216)

#Q
A plane-wave DFT calculation with PBE was carried out for a geometry-optimized CdRe2Hg structure.

Cell lengths 10.313, 10.313, 10.313 Å; angles 16.02, 16.02, 16.02 degrees
Atoms (fractional coordinates):
Re  0.258  0.258  0.258
Hg  0.743  0.743  0.743
Cd  0.508  0.508  0.508
Re  0.991  0.991  0.991

SG ... R3m (160)

Best to worst by energy: #Q, #P.